The following is a DFT calculation (PBE) of a geometry-optimized Li7CaAg4 structure.

Cell lengths 4.975, 7.515, 7.154 Å; angles 72.26, 69.65, 70.67 degrees
Positions (direct):
Li (0.778, 0.882, 0.562)
Li (0.222, 0.118, 0.438)
Li (0.062, 0.583, 0.293)
Li (0.938, 0.417, 0.707)
Li (0.303, 0.648, 0.745)
Li (0.500, 0.000, 0.000)
Li (0.697, 0.352, 0.255)
Ca (0.000, 0.000, 0.000)
Ag (0.550, 0.249, 0.652)
Ag (0.450, 0.751, 0.348)
Ag (0.694, 0.653, 0.960)
Ag (0.306, 0.347, 0.040)

Results
Mass density in g cm⁻³: 3.7
Total moment in μB per formula unit: 0.00
E_tot in eV/atom: -2.287